Entry from Alexandria via LeMat-Bulk: crystalline HfCuS2Cl at its relaxed geometry (PBE).

a = 4.5687 Å, b = 4.5687 Å, c = 4.3978 Å
α = 90.00°, β = 90.00°, γ = 90.00°
Fractional positions:
Hf: 0.0000 0.0000 0.0000
Cu: 0.5000 0.5000 0.5000
S: 0.0000 0.5000 0.5000
S: 0.5000 0.0000 0.5000
Cl: 0.5000 0.5000 0.0000

Calculated values
volume	91.80	Å³/cell
VASP energy	-4.7828	eV/atom
energy above the lowest structure with this stoichiometry	540	meV/atom
density of states at the Fermi level	3.8	states/eV per cell
space-group type	P4/mmm, No. 123
uncorrected formation energy	0.0474	eV per atom

---

Entry from Alexandria via LeMat-Bulk: crystalline LiAl2Au9 at its relaxed geometry (PBE).

a = 9.2110 Å, b = 9.2110 Å, c = 9.2110 Å
α = 95.45°, β = 95.45°, γ = 144.09°
Fractional positions:
Li: 0.3750 0.6250 0.7500
Li: 0.6250 0.3750 0.2500
Al: 0.0000 0.0000 0.0000
Al: 0.0000 0.0000 0.5000
Al: 0.0000 0.5000 0.0000
Al: 0.5000 0.0000 0.5000
Au: 0.0330 0.5019 0.2834
Au: 0.0330 0.7496 0.5312
Au: 0.1250 0.8750 0.2500
Au: 0.2504 0.2815 0.2834
Au: 0.2504 0.9670 0.9688
Au: 0.2815 0.2504 0.7834
Au: 0.2815 0.4981 0.0312
Au: 0.4981 0.2815 0.5312
Au: 0.4981 0.9670 0.2166
Au: 0.5019 0.0330 0.7834
Au: 0.5019 0.7185 0.4688
Au: 0.7185 0.5019 0.9688
Au: 0.7185 0.7496 0.2166
Au: 0.7496 0.0330 0.0312
Au: 0.7496 0.7185 0.7166
Au: 0.8750 0.1250 0.7500
Au: 0.9670 0.2504 0.4688
Au: 0.9670 0.4981 0.7166

Calculated values
volume	436.04	Å³/cell
VASP energy	-3.4487	eV/atom
density of states at the Fermi level	11.3	states/eV per cell
space-group type	I4_1/amd, No. 141
ΔE_f	-20.01	kJ per mole of atoms

---

Entry from Alexandria via LeMat-Bulk: crystalline Cd2Au2Cl at its relaxed geometry (PBE).

a = 7.8054 Å, b = 7.8054 Å, c = 7.8054 Å
α = 150.76°, β = 150.76°, γ = 41.83°
Fractional positions:
Cd: 0.1004 0.1004 0.0000
Cd: 0.8996 0.8996 0.0000
Au: 0.2500 0.7500 0.5000
Au: 0.7500 0.2500 0.5000
Cl: 0.5000 0.5000 0.0000

Calculated values
volume	113.23	Å³/cell
VASP energy	-2.2563	eV/atom
energy above the lowest structure with this stoichiometry	0	meV/atom
density of states at the Fermi level	3.0	states/eV per cell
space-group type	I4/mmm, No. 139
uncorrected formation energy	-0.2100	eV per atom

---

Q: What is the formula in the third record?
A: Cd2Au2Cl

---

Q: Which of these has the highest volume?
A: LiAl2Au9